Record 1
An optimized crystal structure of KRbB12, computed with PBE.

a = 6.010 Å, b = 6.010 Å, c = 6.010 Å
α = 60.00°, β = 60.00°, γ = 60.00°
Positions (direct):
K 0.000 0.000 0.000
Rb 0.500 0.500 0.500
B 0.100 0.100 0.400
B 0.100 0.400 0.100
B 0.100 0.400 0.400
B 0.400 0.100 0.100
B 0.400 0.100 0.400
B 0.400 0.400 0.100
B 0.600 0.600 0.900
B 0.600 0.900 0.600
B 0.600 0.900 0.900
B 0.900 0.600 0.600
B 0.900 0.600 0.900
B 0.900 0.900 0.600

Output
The raw total energy comes out at -82.03 eV for the cell shown. The value obtained for the volume is 10.96 A^3/atom. The space group is No. 225. As for the energy of formation from the pure elements: 11.8 meV per atom.

---

Record 2
An optimized crystal structure of Cd2Ag2Hg, computed with PBE.

a = 9.737 Å, b = 4.193 Å, c = 6.901 Å
α = 90.00°, β = 134.39°, γ = 90.00°
Positions (direct):
Cd 0.195 0.000 0.288
Cd 0.305 0.500 0.712
Cd 0.695 0.500 0.288
Cd 0.805 0.000 0.712
Ag 0.100 0.500 0.902
Ag 0.400 0.000 0.098
Ag 0.600 0.000 0.902
Ag 0.900 0.500 0.098
Hg 0.000 0.000 0.500
Hg 0.500 0.500 0.500

Output
The raw total energy comes out at -15.65 eV for the cell shown. The value obtained for the volume is 20.13 A^3/atom. The space group is No. 12. The distance to the lowest polymorph of the same formula is 0 meV per atom. As for the energy of formation from the pure elements: 1.8 meV per atom.

---

Record 3
An optimized crystal structure of Pr2GeAu3, computed with PBE.

a = 3.707 Å, b = 4.611 Å, c = 8.269 Å
α = 90.00°, β = 90.00°, γ = 90.00°
Positions (direct):
Pr 0.000 0.000 0.000
Pr 0.000 0.500 0.490
Ge 0.500 0.500 0.825
Au 0.500 0.000 0.335
Au 0.500 0.000 0.673
Au 0.500 0.500 0.148

Output
The raw total energy comes out at -28.64 eV for the cell shown. The value obtained for the volume is 23.56 A^3/atom. The space group is No. 25. As for the energy of formation from the pure elements: -771.6 meV per atom.

---

Record 4
An optimized crystal structure of CsTiSb2, computed with PBE.

a = 4.246 Å, b = 4.246 Å, c = 25.833 Å
α = 90.00°, β = 90.00°, γ = 120.00°
Positions (direct):
Cs 0.000 0.000 0.000
Cs 0.333 0.667 0.667
Cs 0.667 0.333 0.333
Ti 0.000 0.000 0.500
Ti 0.333 0.667 0.167
Ti 0.667 0.333 0.833
Sb 0.000 0.000 0.220
Sb 0.000 0.000 0.780
Sb 0.333 0.667 0.446
Sb 0.333 0.667 0.887
Sb 0.667 0.333 0.113
Sb 0.667 0.333 0.554

Output
The uncorrected formation energy is -0.28 eV per atom. The raw total energy comes out at -54.40 eV for the cell shown. The value obtained for the volume is 33.61 A^3/atom. The space group is No. 166. The distance to the lowest polymorph of the same formula is 0 meV per atom.

---

Record 5
An optimized crystal structure of GdAlIrPd, computed with PBE.

a = 6.595 Å, b = 6.595 Å, c = 6.595 Å
α = 90.00°, β = 90.00°, γ = 90.00°
Positions (direct):
Gd 0.000 0.000 0.000
Gd 0.000 0.500 0.500
Gd 0.500 0.000 0.500
Gd 0.500 0.500 0.000
Al 0.000 0.000 0.500
Al 0.000 0.500 0.000
Al 0.500 0.000 0.000
Al 0.500 0.500 0.500
Ir 0.250 0.250 0.750
Ir 0.250 0.750 0.250
Ir 0.750 0.250 0.250
Ir 0.750 0.750 0.750
Pd 0.250 0.250 0.250
Pd 0.250 0.750 0.750
Pd 0.750 0.250 0.750
Pd 0.750 0.750 0.250

Output
The raw total energy comes out at -139.04 eV for the cell shown. The value obtained for the volume is 17.93 A^3/atom. The space group is No. 216. As for the energy of formation from the pure elements: -720.5 meV per atom.

---

Record 6
An optimized crystal structure of LiLaGePt3, computed with PBE.

a = 6.750 Å, b = 6.750 Å, c = 5.747 Å
α = 90.00°, β = 90.00°, γ = 120.55°
Positions (direct):
Li 0.048 0.952 0.750
Li 0.952 0.048 0.250
La 0.289 0.711 0.750
La 0.711 0.289 0.250
Ge 0.375 0.625 0.250
Ge 0.625 0.375 0.750
Pt 0.167 0.833 0.250
Pt 0.280 0.280 0.000
Pt 0.280 0.280 0.500
Pt 0.720 0.720 0.000
Pt 0.720 0.720 0.500
Pt 0.833 0.167 0.750

Output
The raw total energy comes out at -67.34 eV for the cell shown. The value obtained for the volume is 18.79 A^3/atom. The space group is No. 63. As for the energy of formation from the pure elements: -681.2 meV per atom.

---

Q: Which of these has the highest raw total energy?
A: Cd2Ag2Hg

---

Q: Which value of raw total energy does entry 5 give?
A: -139.04 eV for the cell shown

---

Copy entry 5 word for word.
An optimized crystal structure of GdAlIrPd, computed with PBE.

a = 6.595 Å, b = 6.595 Å, c = 6.595 Å
α = 90.00°, β = 90.00°, γ = 90.00°
Positions (direct):
Gd 0.000 0.000 0.000
Gd 0.000 0.500 0.500
Gd 0.500 0.000 0.500
Gd 0.500 0.500 0.000
Al 0.000 0.000 0.500
Al 0.000 0.500 0.000
Al 0.500 0.000 0.000
Al 0.500 0.500 0.500
Ir 0.250 0.250 0.750
Ir 0.250 0.750 0.250
Ir 0.750 0.250 0.250
Ir 0.750 0.750 0.750
Pd 0.250 0.250 0.250
Pd 0.250 0.750 0.750
Pd 0.750 0.250 0.750
Pd 0.750 0.750 0.250

Output
The raw total energy comes out at -139.04 eV for the cell shown. The value obtained for the volume is 17.93 A^3/atom. The space group is No. 216. As for the energy of formation from the pure elements: -720.5 meV per atom.